Ca3Mg2Au4 | PBE | optimized geometry

Cell lengths 12.4517, 4.2997, 9.1748 Å; angles 90.00, 117.14, 90.00 degrees
Space group C2/m (No. 12)
Asymmetric unit:
Ca: 0.0000 0.0000 0.0000
Ca: 0.1271 0.5000 0.7052
Mg: 0.1759 0.5000 0.3458
Au: 0.0775 0.0000 0.4197
Au: 0.2052 0.5000 0.0697

Computed properties:
Its formation energy is -0.6861 eV per atom. The calculation puts the final energy at -3.164 eV/atom.

***

Ca8Mg2Au | PBE | optimized geometry

Cell lengths 19.5261, 5.5995, 7.3285 Å; angles 90.00, 107.88, 90.00 degrees
Space group C2/m (No. 12)
Asymmetric unit:
Ca: 0.0195 0.0000 0.2841
Ca: 0.0935 0.5000 0.9291
Ca: 0.1477 0.5000 0.4600
Ca: 0.2073 0.0000 0.7935
Mg: 0.1837 0.0000 0.2276
Au: 0.0000 0.5000 0.5000

Computed properties:
Its formation energy is -0.1621 eV per atom. The calculation puts the final energy at -2.206 eV/atom.

***

Ca8Mg3Au2 | PBE | optimized geometry

Cell lengths 8.9919, 16.6850, 5.6343 Å; angles 90.00, 90.00, 90.00 degrees
Space group Cmmm (No. 65)
Asymmetric unit:
Ca: 0.0000 0.1086 0.0000
Ca: 0.0000 0.3093 0.0000
Ca: 0.2184 0.3708 0.5000
Mg: 0.0000 0.0000 0.5000
Mg: 0.1728 0.5000 0.0000
Au: 0.0000 0.2245 0.5000

Computed properties:
Its formation energy is -0.2272 eV per atom. The calculation puts the final energy at -2.331 eV/atom.